Computed, not measured: a relaxed MnTcAsOs crystal at the PBE level of DFT.

a b c (Å): 4.282 4.282 4.282
angles (deg): 60.00 60.00 60.00
Sites, in units of the cell vectors:
Mn 0.000 0.000 0.000
Tc 0.750 0.750 0.750
As 0.500 0.500 0.500
Os 0.250 0.250 0.250

Results
size of the total moment: 2.90 μB/f.u.
raw total energy: -0.32408 hartree per atom
calculated formation energy: 0.0349 eV per atom